(1)
A plane-wave DFT calculation with GGA-PBE was carried out for an optimized crystal structure of CaSc2W.

Summary:
* spin magnetization: 0.00 μB/cell
* energy: -6.62 eV per atom
* ΔE_f: 280.1 meV/atom

Unit cell a=3.320 b=3.458 c=8.671 alpha=90.00 beta=90.00 gamma=90.00
Fractional coordinates of all 4 atoms:
Sc 0.000 0.000 0.069
Sc 0.000 0.000 0.431
Ca 0.500 0.500 0.750
W 0.500 0.500 0.250

=====

(2)
A plane-wave DFT calculation with GGA-PBE was carried out for an optimized crystal structure of CaScW2.

Summary:
* spin magnetization: 0.00 μB/cell
* energy: -7.93 eV per atom
* ΔE_f: 634.6 meV/atom

Unit cell a=2.805 b=2.805 c=10.282 alpha=90.00 beta=90.00 gamma=90.00
Fractional coordinates of all 4 atoms:
Sc 0.500 0.500 0.788
Ca 0.000 0.000 0.479
W 0.000 0.000 0.006
W 0.500 0.500 0.227